The following is a DFT calculation (PBE+U) of a geometry-optimized MnNiO2 structure.

E in eV per atom: -5.967
Theoretical density in g cm⁻³: 5.26
Symmetry: R-3m (166)
Energy above the most stable polymorph in this dataset in kcal/mol of atoms: 8.041
N(E_F) in states/eV/atom: 0.1777

Lattice parameters (Å, degrees): 3.040 3.040 17.222 90.00 90.00 120.00
Sites, in units of the cell vectors:
Mn (0.000, 0.000, 0.000)
Mn (0.333, 0.667, 0.667)
Mn (0.667, 0.333, 0.333)
Ni (0.000, 0.000, 0.500)
Ni (0.333, 0.667, 0.167)
Ni (0.667, 0.333, 0.833)
O (0.000, 0.000, 0.393)
O (0.000, 0.000, 0.607)
O (0.333, 0.667, 0.059)
O (0.333, 0.667, 0.274)
O (0.667, 0.333, 0.726)
O (0.667, 0.333, 0.941)